# NdDy3Ga

NdDy3Ga after structural relaxation (GGA-PBE, Alexandria).

Cell: 7.5645 7.5645 7.4211 Å, 102.99 118.00 108.60°
With the nearest neighbours (Å) after each atom.
Fractional positions:
1 Ga 0.6393 0.7372 0.3765  6 Dy 2.88-3.06, 1 Nd 3.01
2 Ga 0.3607 0.2628 0.6235  6 Dy 2.88-3.06, 1 Nd 3.01
3 Dy 0.1575 0.8980 0.6680  2 Ga 2.88-3.06
4 Nd 0.2690 0.9464 0.2154  1 Ga 3.01
5 Dy 0.7701 0.5105 0.6680  2 Ga 2.88-3.06
6 Dy 0.8425 0.1020 0.3320  2 Ga 2.88-3.06
7 Dy 0.2299 0.4895 0.3320  2 Ga 2.88-3.06
8 Nd 0.7310 0.0536 0.7846  1 Ga 3.01
9 Dy 0.6963 0.4298 0.1261  2 Ga 2.91-2.98
10 Dy 0.3037 0.5702 0.8739  2 Ga 2.91-2.98

Results
Fermi-level density of states in states/eV/f.u.: 6.4
Volume in Å³ per cell: 317.8
ΔH_f (0 K) in eV per formula unit: -0.36
M_tot in μB/f.u.: 0.00